Material: Ca2MgSc
Method: DFT, GGA-PBE
State: relaxed Values from VASP.

Output
The energy of formation from the pure elements comes out at 0.393 eV/atom. The value obtained for the magnetic moment is 0.851 μB per formula unit. The mass density is 1.92 g/cm3. As for the density of states at the Fermi level: 11.861 states/eV per cell.

```
&SYSTEM
  ibrav = 0, nat = 8, ntyp = 3
/
ATOMIC_SPECIES
Ca 40.08 Ca.upf
Sc 44.96 Sc.upf
Mg 24.30 Mg.upf
CELL_PARAMETERS angstrom
-0.167 1.487 8.675
7.532 -4.465 0.911
5.410 1.334 4.342
ATOMIC_POSITIONS crystal
Ca 0.143 0.625 0.250
Ca 0.875 0.857 0.750
Ca 0.375 0.393 0.750
Ca 0.607 0.125 0.250
Sc 0.750 0.250 0.500
Sc 0.000 0.000 0.000
Mg 0.250 0.750 0.500
Mg 0.500 0.500 0.000
```

Material: CaMgSc
Method: DFT, GGA-PBE
State: relaxed Values from VASP.

Output
The energy of formation from the pure elements comes out at -0.008 eV/atom. The value obtained for the magnetic moment is 0.490 μB per formula unit. The mass density is 2.09 g/cm3. As for the density of states at the Fermi level: 7.971 states/eV per cell.

```
&SYSTEM
  ibrav = 0, nat = 6, ntyp = 3
/
ATOMIC_SPECIES
Mg 24.30 Mg.upf
Sc 44.96 Sc.upf
Ca 40.08 Ca.upf
CELL_PARAMETERS angstrom
3.690 -0.001 0.230
0.001 3.698 0.004
-0.785 -0.014 12.683
ATOMIC_POSITIONS crystal
Mg 0.372 0.791 0.964
Mg 0.873 0.291 0.548
Sc 0.872 0.291 0.829
Sc 0.373 0.791 0.684
Ca 0.872 0.291 0.139
Ca 0.373 0.791 0.373
```

Material: CaMgSc
Method: DFT, GGA-PBE
State: relaxed Values from VASP.

Output
The energy of formation from the pure elements comes out at 0.144 eV/atom. The value obtained for the magnetic moment is 0.000 μB per formula unit. The mass density is 2.16 g/cm3. As for the density of states at the Fermi level: 2.760 states/eV per cell.

```
&SYSTEM
  ibrav = 0, nat = 3, ntyp = 3
/
ATOMIC_SPECIES
Sc 44.96 Sc.upf
Mg 24.30 Mg.upf
Ca 40.08 Ca.upf
CELL_PARAMETERS angstrom
-1.493 5.255 -0.118
-3.806 -3.921 0.075
-0.009 0.071 3.256
ATOMIC_POSITIONS crystal
Sc 0.333 0.667 0.665
Mg 0.667 0.333 0.327
Ca 0.000 0.000 0.008
```

Material: CaMgSc2
Method: DFT, GGA-PBE
State: relaxed Values from VASP.

Output
The energy of formation from the pure elements comes out at 0.141 eV/atom. The value obtained for the magnetic moment is 0.994 μB per formula unit. The mass density is 2.34 g/cm3. As for the density of states at the Fermi level: 5.652 states/eV per cell.

```
&SYSTEM
  ibrav = 0, nat = 4, ntyp = 3
/
ATOMIC_SPECIES
Sc 44.96 Sc.upf
Mg 24.30 Mg.upf
Ca 40.08 Ca.upf
CELL_PARAMETERS angstrom
-1.200 -2.107 5.564
2.126 -1.152 5.568
-1.298 4.504 3.306
ATOMIC_POSITIONS crystal
Sc 0.990 0.990 0.959
Sc 0.734 0.734 0.810
Mg 0.263 0.263 0.281
Ca 0.513 0.513 0.451
```

Material: CaMgSc2
Method: DFT, GGA-PBE
State: relaxed Values from VASP.

Output
The energy of formation from the pure elements comes out at 0.152 eV/atom. The value obtained for the magnetic moment is 0.205 μB per formula unit. The mass density is 2.37 g/cm3. As for the density of states at the Fermi level: 7.664 states/eV per cell.

```
&SYSTEM
  ibrav = 0, nat = 4, ntyp = 3
/
ATOMIC_SPECIES
Sc 44.96 Sc.upf
Mg 24.30 Mg.upf
Ca 40.08 Ca.upf
CELL_PARAMETERS angstrom
-3.576 5.130 -0.935
-4.512 -0.307 -4.419
2.215 -2.481 5.378
ATOMIC_POSITIONS crystal
Sc 0.760 0.260 0.500
Sc 0.012 0.012 0.000
Mg 0.241 0.741 0.500
Ca 0.486 0.486 0.000
```

Material: CaMgSc2
Method: DFT, GGA-PBE
State: relaxed Values from VASP.

Output
The energy of formation from the pure elements comes out at 0.177 eV/atom. The value obtained for the magnetic moment is 0.454 μB per formula unit. The mass density is 2.34 g/cm3. As for the density of states at the Fermi level: 6.300 states/eV per cell.

```
&SYSTEM
  ibrav = 0, nat = 4, ntyp = 3
/
ATOMIC_SPECIES
Sc 44.96 Sc.upf
Mg 24.30 Mg.upf
Ca 40.08 Ca.upf
CELL_PARAMETERS angstrom
-1.650 0.335 2.856
0.145 -4.843 0.651
5.847 0.619 3.305
ATOMIC_POSITIONS crystal
Sc 0.000 0.000 0.979
Sc 0.000 0.000 0.521
Mg 0.500 0.500 0.750
Ca 0.500 0.500 0.250
```

Material: Ca2MgSc
Method: DFT, GGA-PBE
State: relaxed Values from VASP.

Output
The energy of formation from the pure elements comes out at 0.119 eV/atom. The value obtained for the magnetic moment is 0.001 μB per formula unit. The mass density is 1.98 g/cm3. As for the density of states at the Fermi level: 4.354 states/eV per cell.

```
&SYSTEM
  ibrav = 0, nat = 4, ntyp = 3
/
ATOMIC_SPECIES
Ca 40.08 Ca.upf
Mg 24.30 Mg.upf
Sc 44.96 Sc.upf
CELL_PARAMETERS angstrom
4.447 0.000 0.000
0.000 3.797 0.010
0.000 3.776 7.447
ATOMIC_POSITIONS crystal
Ca 0.000 0.502 0.498
Ca 0.000 0.998 0.002
Mg 0.500 0.250 0.250
Sc 0.500 0.750 0.750
```

Material: CaMgSc2
Method: DFT, GGA-PBE
State: relaxed Values from VASP.

Output
The energy of formation from the pure elements comes out at 0.044 eV/atom. The value obtained for the magnetic moment is 0.661 μB per formula unit. The mass density is 2.32 g/cm3. As for the density of states at the Fermi level: 6.005 states/eV per cell.

```
&SYSTEM
  ibrav = 0, nat = 4, ntyp = 3
/
ATOMIC_SPECIES
Ca 40.08 Ca.upf
Sc 44.96 Sc.upf
Mg 24.30 Mg.upf
CELL_PARAMETERS angstrom
-3.207 -0.638 1.067
1.135 -0.295 3.234
-1.375 9.119 1.314
ATOMIC_POSITIONS crystal
Ca 0.000 0.000 0.508
Sc 0.000 0.000 0.998
Sc 0.500 0.500 0.218
Mg 0.500 0.500 0.776
```